[1]
# PBE TaAgSe2, optimized geometry
data_TaAgSe2
_chemical_formula_sum 'Ta1 Ag1 Se2'
_space_group_name_H-M_alt 'P 1'
_space_group_IT_number 1
_cell_length_a 5.8261
_cell_length_b 5.8261
_cell_length_c 5.8261
_cell_angle_alpha 141.70
_cell_angle_beta 141.70
_cell_angle_gamma 55.29
loop_
_space_group_symop_operation_xyz
'x,y,z'
loop_
_atom_site_label
_atom_site_type_symbol
_atom_site_fract_x
_atom_site_fract_y
_atom_site_fract_z
Se1 Se 0.0000 0.0000 0.0000
Se2 Se 0.2500 0.7500 0.5000
Ag1 Ag 0.7500 0.2500 0.5000
Ta1 Ta 0.5000 0.5000 0.0000
# Energy = -5.139 eV/atom
# E_form (uncorrected) = 0.28 eV per atom
# Space group = No. 119

***

[2]
# PBE Pm2Nd2Pb3, optimized geometry
data_Pm2Nd2Pb3
_chemical_formula_sum 'Pm2 Nd2 Pb3'
_space_group_name_H-M_alt 'P 1'
_space_group_IT_number 1
_cell_length_a 5.4646
_cell_length_b 9.5782
_cell_length_c 5.4753
_cell_angle_alpha 106.64
_cell_angle_beta 119.94
_cell_angle_gamma 90.00
loop_
_space_group_symop_operation_xyz
'x,y,z'
loop_
_atom_site_label
_atom_site_type_symbol
_atom_site_fract_x
_atom_site_fract_y
_atom_site_fract_z
Pm1 Pm 0.1203 0.3625 0.2405
Pm2 Pm 0.8797 0.6375 0.7595
Nd1 Nd 0.3737 0.1217 0.7473
Nd2 Nd 0.6263 0.8783 0.2527
Pb1 Pb 0.7599 0.2812 0.5198
Pb2 Pb 0.0000 0.0000 0.0000
Pb3 Pb 0.2401 0.7188 0.4802
# Energy relative to the elements = -402.0 meV/atom
# Energy = -4.711 eV/atom
# Space group = No. 12

***

[3]
# PBE Ca2TeW, optimized geometry
data_Ca2TeW
_chemical_formula_sum 'Ca2 Te1 W1'
_space_group_name_H-M_alt 'P 1'
_space_group_IT_number 1
_cell_length_a 5.3468
_cell_length_b 5.3468
_cell_length_c 5.3468
_cell_angle_alpha 60.00
_cell_angle_beta 60.00
_cell_angle_gamma 60.00
loop_
_space_group_symop_operation_xyz
'x,y,z'
loop_
_atom_site_label
_atom_site_type_symbol
_atom_site_fract_x
_atom_site_fract_y
_atom_site_fract_z
W1 W 0.5000 0.5000 0.5000
Ca1 Ca 0.7500 0.7500 0.7500
Ca2 Ca 0.2500 0.2500 0.2500
Te1 Te 0.0000 0.0000 0.0000
# Energy = -4.495 eV/atom
# Distance to the lowest polymorph of the same formula = 326.1 meV per atom
# E_form (uncorrected) = 0.53 eV per atom
# Space group = No. 225

***

[4]
# PBE Na3Sn4Pb, optimized geometry
data_Na3Sn4Pb
_chemical_formula_sum 'Na3 Sn4 Pb1'
_space_group_name_H-M_alt 'P 1'
_space_group_IT_number 1
_cell_length_a 3.2231
_cell_length_b 5.8877
_cell_length_c 11.9296
_cell_angle_alpha 91.78
_cell_angle_beta 90.00
_cell_angle_gamma 89.99
loop_
_space_group_symop_operation_xyz
'x,y,z'
loop_
_atom_site_label
_atom_site_type_symbol
_atom_site_fract_x
_atom_site_fract_y
_atom_site_fract_z
Sn1 Sn 0.9984 0.2485 0.4639
Sn2 Sn 0.9988 0.6755 0.7800
Sn3 Sn 0.0016 0.7515 0.5361
Sn4 Sn 0.0012 0.3245 0.2200
Na1 Na 0.5000 0.5000 0.0000
Na2 Na 0.5025 0.8254 0.2714
Na3 Na 0.4975 0.1746 0.7286
Pb1 Pb 0.0000 0.0000 0.0000
# Energy relative to the elements = -114.1 meV/atom
# Energy = -3.074 eV/atom
# Space group = No. 2

***

[5]
# PBE HoPaNiRh, optimized geometry
data_HoPaNiRh
_chemical_formula_sum 'Ho1 Pa1 Ni1 Rh1'
_space_group_name_H-M_alt 'P 1'
_space_group_IT_number 1
_cell_length_a 4.8193
_cell_length_b 4.8193
_cell_length_c 4.8193
_cell_angle_alpha 60.00
_cell_angle_beta 60.00
_cell_angle_gamma 60.00
loop_
_space_group_symop_operation_xyz
'x,y,z'
loop_
_atom_site_label
_atom_site_type_symbol
_atom_site_fract_x
_atom_site_fract_y
_atom_site_fract_z
Ho1 Ho 0.2500 0.2500 0.2500
Rh1 Rh 0.0000 0.0000 0.0000
Pa1 Pa 0.7500 0.7500 0.7500
Ni1 Ni 0.5000 0.5000 0.5000
# Energy relative to the elements = -464.6 meV/atom
# Energy = -7.266 eV/atom
# Distance to the lowest polymorph of the same formula = 135.8 meV per atom
# Space group = No. 216

***

[6]
# PBE TcPt2W, optimized geometry
data_TcPt2W
_chemical_formula_sum 'Tc1 Pt2 W1'
_space_group_name_H-M_alt 'P 1'
_space_group_IT_number 1
_cell_length_a 4.0974
_cell_length_b 2.7342
_cell_length_c 6.1013
_cell_angle_alpha 63.31
_cell_angle_beta 90.00
_cell_angle_gamma 90.00
loop_
_space_group_symop_operation_xyz
'x,y,z'
loop_
_atom_site_label
_atom_site_type_symbol
_atom_site_fract_x
_atom_site_fract_y
_atom_site_fract_z
Tc1 Tc 0.5000 0.2500 0.2500
Pt1 Pt 0.0000 0.5013 0.4988
Pt2 Pt 0.0000 0.9987 0.0012
W1 W 0.5000 0.7500 0.7500
# Energy relative to the elements = -155.3 meV/atom
# Energy = -9.006 eV/atom
# Distance to the lowest polymorph of the same formula = 68.5 meV per atom
# Space group = No. 47

***

[7]
# PBE V2Ni4Ir, optimized geometry
data_V2Ni4Ir
_chemical_formula_sum 'V2 Ni4 Ir1'
_space_group_name_H-M_alt 'P 1'
_space_group_IT_number 1
_cell_length_a 4.5251
_cell_length_b 4.5251
_cell_length_c 6.5330
_cell_angle_alpha 69.74
_cell_angle_beta 69.74
_cell_angle_gamma 90.00
loop_
_space_group_symop_operation_xyz
'x,y,z'
loop_
_atom_site_label
_atom_site_type_symbol
_atom_site_fract_x
_atom_site_fract_y
_atom_site_fract_z
Ni1 Ni 0.7881 0.7881 0.4238
Ni2 Ni 0.0000 0.5000 0.0000
Ni3 Ni 0.2119 0.2119 0.5762
Ni4 Ni 0.5000 0.0000 0.0000
Ir1 Ir 0.0000 0.0000 0.0000
V1 V 0.4036 0.4036 0.1928
V2 V 0.5964 0.5964 0.8072
# Energy relative to the elements = 1048.3 meV/atom
# Energy = -6.126 eV/atom
# Distance to the lowest polymorph of the same formula = 1183.1 meV per atom
# Space group = No. 139

***

[8]
# PBE Cs2NaLiF6, optimized geometry
data_Cs2NaLiF6
_chemical_formula_sum 'Cs2 Na1 Li1 F6'
_space_group_name_H-M_alt 'P 1'
_space_group_IT_number 1
_cell_length_a 6.2437
_cell_length_b 6.2437
_cell_length_c 6.2437
_cell_angle_alpha 60.00
_cell_angle_beta 60.00
_cell_angle_gamma 60.00
loop_
_space_group_symop_operation_xyz
'x,y,z'
loop_
_atom_site_label
_atom_site_type_symbol
_atom_site_fract_x
_atom_site_fract_y
_atom_site_fract_z
F1 F 0.7650 0.2350 0.2350
F2 F 0.2350 0.7650 0.2350
F3 F 0.2350 0.2350 0.7650
F4 F 0.7650 0.7650 0.2350
F5 F 0.2350 0.7650 0.7650
F6 F 0.7650 0.2350 0.7650
Cs1 Cs 0.7500 0.7500 0.7500
Cs2 Cs 0.2500 0.2500 0.2500
Na1 Na 0.5000 0.5000 0.5000
Li1 Li 0.0000 0.0000 0.0000
# Energy = -3.806 eV/atom
# E_form (uncorrected) = -2.19 eV per atom
# Space group = No. 225

***

[9]
# PBE CrIrIN2, optimized geometry
data_CrIrIN2
_chemical_formula_sum 'Cr1 Ir1 I1 N2'
_space_group_name_H-M_alt 'P 1'
_space_group_IT_number 1
_cell_length_a 3.7029
_cell_length_b 3.7029
_cell_length_c 5.7951
_cell_angle_alpha 90.00
_cell_angle_beta 90.00
_cell_angle_gamma 90.00
loop_
_space_group_symop_operation_xyz
'x,y,z'
loop_
_atom_site_label
_atom_site_type_symbol
_atom_site_fract_x
_atom_site_fract_y
_atom_site_fract_z
Cr1 Cr 0.0000 0.0000 0.0000
I1 I 0.0000 0.0000 0.5000
N1 N 0.0000 0.5000 0.0000
N2 N 0.5000 0.0000 0.0000
Ir1 Ir 0.5000 0.5000 0.5000
# Energy = -6.165 eV/atom
# Distance to the lowest polymorph of the same formula = 241.8 meV per atom
# E_form (uncorrected) = 1.17 eV per atom
# Space group = No. 123

***

[10]
# PBE LiCuF, optimized geometry
data_LiCuF
_chemical_formula_sum 'Li2 Cu2 F2'
_space_group_name_H-M_alt 'P 1'
_space_group_IT_number 1
_cell_length_a 2.7638
_cell_length_b 2.7633
_cell_length_c 10.0828
_cell_angle_alpha 74.08
_cell_angle_beta 82.13
_cell_angle_gamma 59.98
loop_
_space_group_symop_operation_xyz
'x,y,z'
loop_
_atom_site_label
_atom_site_type_symbol
_atom_site_fract_x
_atom_site_fract_y
_atom_site_fract_z
Li1 Li 0.2444 0.1322 0.2997
Li2 Li 0.5780 0.7167 0.0491
Cu1 Cu 0.2465 0.6270 0.8024
Cu2 Cu 0.5795 0.1577 0.6037
F1 F 0.9114 0.9495 0.1492
F2 F 0.5780 0.3694 0.3954
# Energy = -4.279 eV/atom
# E_form (uncorrected) = -1.65 eV per atom
# Space group = No. 8

***

[11]
# PBE TiPIN2, optimized geometry
data_TiPIN2
_chemical_formula_sum 'Ti1 P1 I1 N2'
_space_group_name_H-M_alt 'P 1'
_space_group_IT_number 1
_cell_length_a 3.6664
_cell_length_b 3.6664
_cell_length_c 6.1740
_cell_angle_alpha 90.00
_cell_angle_beta 90.00
_cell_angle_gamma 90.00
loop_
_space_group_symop_operation_xyz
'x,y,z'
loop_
_atom_site_label
_atom_site_type_symbol
_atom_site_fract_x
_atom_site_fract_y
_atom_site_fract_z
N1 N 0.0000 0.5000 0.0000
N2 N 0.5000 0.0000 0.0000
I1 I 0.0000 0.0000 0.5000
P1 P 0.0000 0.0000 0.0000
Ti1 Ti 0.5000 0.5000 0.5000
# Energy = -5.118 eV/atom
# Distance to the lowest polymorph of the same formula = 415.9 meV per atom
# E_form (uncorrected) = 1.18 eV per atom
# Space group = No. 123

***

[12]
# PBE LaTb5Sm6, optimized geometry
data_LaTb5Sm6
_chemical_formula_sum 'La1 Tb5 Sm6'
_space_group_name_H-M_alt 'P 1'
_space_group_IT_number 1
_cell_length_a 11.9803
_cell_length_b 6.2583
_cell_length_c 6.2573
_cell_angle_alpha 59.99
_cell_angle_beta 85.00
_cell_angle_gamma 79.96
loop_
_space_group_symop_operation_xyz
'x,y,z'
loop_
_atom_site_label
_atom_site_type_symbol
_atom_site_fract_x
_atom_site_fract_y
_atom_site_fract_z
Tb1 Tb 0.5000 0.5000 0.0000
Tb2 Tb 0.0000 0.6666 0.6668
Tb3 Tb 0.5000 0.1671 0.6658
Tb4 Tb 0.5000 0.8329 0.3342
Tb5 Tb 0.0000 0.3334 0.3332
Sm1 Sm 0.7478 0.0847 0.3345
Sm2 Sm 0.2524 0.2497 0.0000
Sm3 Sm 0.2522 0.9153 0.6655
Sm4 Sm 0.2522 0.5808 0.3345
Sm5 Sm 0.7476 0.7503 0.0000
Sm6 Sm 0.7478 0.4192 0.6655
La1 La 0.0000 0.0000 0.0000
# Energy relative to the elements = 17.0 meV/atom
# Energy = -4.682 eV/atom
# Space group = No. 12

***

[13]
# PBE La4CuRu, optimized geometry
data_La4CuRu
_chemical_formula_sum 'La4 Cu1 Ru1'
_space_group_name_H-M_alt 'P 1'
_space_group_IT_number 1
_cell_length_a 6.1774
_cell_length_b 6.1774
_cell_length_c 6.1774
_cell_angle_alpha 60.00
_cell_angle_beta 60.00
_cell_angle_gamma 60.00
loop_
_space_group_symop_operation_xyz
'x,y,z'
loop_
_atom_site_label
_atom_site_type_symbol
_atom_site_fract_x
_atom_site_fract_y
_atom_site_fract_z
La1 La 0.8724 0.3759 0.3759
La2 La 0.3759 0.3759 0.3759
La3 La 0.3759 0.8724 0.3759
La4 La 0.3759 0.3759 0.8724
Ru1 Ru 0.7500 0.7500 0.7500
Cu1 Cu 0.0000 0.0000 0.0000
# Energy relative to the elements = 838.1 meV/atom
# Energy = -4.676 eV/atom
# Distance to the lowest polymorph of the same formula = 1012.8 meV per atom
# Space group = No. 216

***

Computed total moment, in the same sequence as the records: 0.00, 0.00, 3.96, 0.00, 0.00, 0.00, 0.00, 2.01, 0.25, 0.00, 1.53, 0.00, 0.00 μB per formula unit.
Computed density of states at the Fermi level, in the same sequence as the records: 3.40, 6.35, 3.43, 1.93, 4.80, 3.93, 11.46, 16.53, 5.00, 0.18, 4.60, 16.64, 9.25 states/eV/f.u..